# PBE PmPaTc2, optimized geometry
# E_form (kcal/mol of atoms): -2.59
# Density (Mg/m³): 11.25
# Relative energy among the computed polymorphs (eV per formula unit): 0.000
# M_tot (μB/f.u.): 0.0
data_PmPaTc2
_chemical_formula_sum 'Pm1 Pa1 Tc2'
_space_group_name_H-M_alt 'P 4/m m m'
_space_group_IT_number 123
_space_group_name_Hall '-P 4 2'
_cell_length_a 3.432
_cell_length_b 3.432
_cell_length_c 7.172
_cell_angle_alpha 90.00
_cell_angle_beta 90.00
_cell_angle_gamma 90.00
loop_
_atom_site_label
_atom_site_type_symbol
_atom_site_fract_x
_atom_site_fract_y
_atom_site_fract_z
_atom_site_occupancy
Pm1 Pm 0.000 0.000 0.000 1
Pa1 Pa 0.000 0.000 0.500 1
Tc1 Tc 0.500 0.500 0.289 1